# AcNi2Sb, relaxed, DFT PBE
data_AcNi2Sb
_symmetry_space_group_name_H-M 'P 4/m m m'
_symmetry_Int_Tables_number 123
_symmetry_space_group_name_Hall '-P 4 2'
_cell_length_a 4.7282
_cell_length_b 4.7282
_cell_length_c 3.7216
_cell_angle_alpha 90.00
_cell_angle_beta 90.00
_cell_angle_gamma 90.00
loop_
_atom_site_label
_atom_site_fract_x
_atom_site_fract_y
_atom_site_fract_z
Ac1 0.0000 0.0000 0.0000
Ni1 0.0000 0.5000 0.5000
Sb1 0.5000 0.5000 0.0000
# Fermi-level density of states = 2.63 states/eV/cell

# Ac3NiSb, relaxed, DFT PBE
data_Ac3NiSb
_symmetry_space_group_name_H-M 'P m -3 m'
_symmetry_Int_Tables_number 221
_symmetry_space_group_name_Hall '-P 4 2 3'
_cell_length_a 5.6302
_cell_length_b 5.6302
_cell_length_c 5.6302
_cell_angle_alpha 90.00
_cell_angle_beta 90.00
_cell_angle_gamma 90.00
loop_
_atom_site_label
_atom_site_fract_x
_atom_site_fract_y
_atom_site_fract_z
Ac1 0.0000 0.0000 0.5000
Ni1 0.0000 0.0000 0.0000
Sb1 0.5000 0.5000 0.5000
# Fermi-level density of states = 3.29 states/eV/cell

# Ac2NiSb, relaxed, DFT PBE
data_Ac2NiSb
_symmetry_space_group_name_H-M 'R -3 m'
_symmetry_Int_Tables_number 166
_symmetry_space_group_name_Hall '-R 3 2"'
_cell_length_a 4.5093
_cell_length_b 4.5093
_cell_length_c 22.7592
_cell_angle_alpha 90.00
_cell_angle_beta 90.00
_cell_angle_gamma 120.00
loop_
_atom_site_label
_atom_site_fract_x
_atom_site_fract_y
_atom_site_fract_z
Ac1 0.0000 0.0000 0.2409
Ni1 0.0000 0.0000 0.5000
Sb1 0.0000 0.0000 0.0000
# Fermi-level density of states = 8.66 states/eV/cell

# AcNi4Sb, relaxed, DFT PBE
data_AcNi4Sb
_symmetry_space_group_name_H-M 'F -4 3 m'
_symmetry_Int_Tables_number 216
_symmetry_space_group_name_Hall 'F -4 2 3'
_cell_length_a 7.3603
_cell_length_b 7.3603
_cell_length_c 7.3603
_cell_angle_alpha 90.00
_cell_angle_beta 90.00
_cell_angle_gamma 90.00
loop_
_atom_site_label
_atom_site_fract_x
_atom_site_fract_y
_atom_site_fract_z
Ac1 0.0000 0.0000 0.0000
Ni1 0.1237 0.1237 0.6237
Sb1 0.2500 0.2500 0.2500
# Fermi-level density of states = 28.61 states/eV/cell

The following is a DFT calculation (PBE) of a relaxed structure of AcNiSb.

Structure (CIF):
```
data_AcNiSb
_symmetry_space_group_name_H-M 'F -4 3 m'
_symmetry_Int_Tables_number 216
_symmetry_space_group_name_Hall 'F -4 2 3'
_cell_length_a 6.8289
_cell_length_b 6.8289
_cell_length_c 6.8289
_cell_angle_alpha 90.00
_cell_angle_beta 90.00
_cell_angle_gamma 90.00
loop_
_atom_site_label
_atom_site_fract_x
_atom_site_fract_y
_atom_site_fract_z
Ac1 0.0000 0.0000 0.0000
Ni1 0.2500 0.2500 0.2500
Sb1 0.0000 0.0000 0.5000
```

# AcNiSb, relaxed, DFT PBE
data_AcNiSb
_symmetry_space_group_name_H-M 'P 3 m 1'
_symmetry_Int_Tables_number 156
_cell_length_a 4.4796
_cell_length_b 4.4796
_cell_length_c 4.4732
_cell_angle_alpha 90.00
_cell_angle_beta 90.00
_cell_angle_gamma 120.00
loop_
_symmetry_equiv_pos_as_xyz
'x,y,z'
'-y,x-y,z'
'-x+y,-x,z'
'-y,-x,z'
'-x+y,y,z'
'x,x-y,z'
loop_
_atom_site_label
_atom_site_fract_x
_atom_site_fract_y
_atom_site_fract_z
Ac1 0.0000 0.0000 0.0000
Ni1 0.3333 0.6667 0.4988
Sb1 0.6667 0.3333 0.5000
# Fermi-level density of states = 1.55 states/eV/cell

Number 1: total magnetic moment 0.0 Bohr magnetons per cell, uncorrected formation energy -0.10 eV per atom. Number 2: total magnetic moment 0.0 Bohr magnetons per cell, uncorrected formation energy -0.38 eV per atom. Number 3: total magnetic moment 0.0 Bohr magnetons per cell, uncorrected formation energy -0.55 eV per atom. Number 4: total magnetic moment 2.6 Bohr magnetons per cell, uncorrected formation energy -0.12 eV per atom. Number 5: total magnetic moment 0.0 Bohr magnetons per cell, uncorrected formation energy -0.71 eV per atom. Number 6: total magnetic moment 0.0 Bohr magnetons per cell, uncorrected formation energy -0.80 eV per atom.